# 1
Compound: MgTcAu2
Source: Alexandria
Functional: PBE-GGA
Structure: optimized geometry

Cell lengths 2.794, 2.794, 8.682 Å; angles 90.00, 90.00, 90.06 degrees
Atoms (fractional coordinates):
Au1 0.000 0.000 0.987
Au2 0.500 0.500 0.262
Mg1 0.000 0.000 0.504
Tc1 0.500 0.500 0.747

Calculated values
energy above the most stable polymorph in this dataset = 0.34 eV per formula unit
V = 67.8 Å³/cell
E_form = 0.066 eV/atom

# 2
Compound: MgTc2Au
Source: Alexandria
Functional: PBE-GGA
Structure: optimized geometry

Cell lengths 2.787, 4.451, 5.215 Å; angles 90.00, 90.00, 90.00 degrees
Atoms (fractional coordinates):
Au1 0.500 0.500 0.250
Mg1 0.500 0.500 0.750
Tc1 0.000 0.000 0.975
Tc2 0.000 0.000 0.525

Calculated values
energy above the most stable polymorph in this dataset = 1.17 eV per formula unit
V = 64.7 Å³/cell
E_form = 0.251 eV/atom

# 3
Compound: MgTcAu2
Source: Alexandria
Functional: PBE-GGA
Structure: optimized geometry

Cell lengths 5.041, 5.041, 5.067 Å; angles 80.88, 80.88, 32.08 degrees
Atoms (fractional coordinates):
Au1 0.995 0.995 0.028
Au2 0.755 0.755 0.728
Mg1 0.502 0.502 0.512
Tc1 0.248 0.248 0.232

Calculated values
energy above the most stable polymorph in this dataset = 0.27 eV per formula unit
V = 67.4 Å³/cell
E_form = 0.049 eV/atom

# 4
Compound: MgTc2Au
Source: Alexandria
Functional: PBE-GGA
Structure: optimized geometry

Cell lengths 2.761, 2.761, 9.151 Å; angles 90.00, 90.00, 111.62 degrees
Atoms (fractional coordinates):
Au1 0.000 0.000 0.503
Mg1 0.500 0.500 0.756
Tc1 0.000 0.000 0.009
Tc2 0.500 0.500 0.232

Calculated values
energy above the most stable polymorph in this dataset = 0.81 eV per formula unit
V = 64.9 Å³/cell
E_form = 0.162 eV/atom

# 5
Compound: Mg4TcAu
Source: Alexandria
Functional: PBE-GGA
Structure: optimized geometry

Cell lengths 5.404, 5.404, 5.404 Å; angles 60.00, 60.00, 60.00 degrees
Atoms (fractional coordinates):
Mg1 0.873 0.376 0.376
Mg2 0.376 0.376 0.873
Mg3 0.376 0.873 0.376
Mg4 0.376 0.376 0.376
Tc1 0.750 0.750 0.750
Au1 0.000 0.000 0.000

Calculated values
V = 111.6 Å³/cell
E_form = 0.421 eV/atom

# 6
Compound: MgTcAu2
Source: Alexandria
Functional: PBE-GGA
Structure: optimized geometry

Cell lengths 4.900, 4.900, 5.274 Å; angles 81.72, 81.72, 32.98 degrees
Atoms (fractional coordinates):
Au1 0.998 0.998 0.004
Au2 0.502 0.502 0.496
Mg1 0.750 0.750 0.750
Tc1 0.250 0.250 0.250

Calculated values
energy above the most stable polymorph in this dataset = 0.59 eV per formula unit
V = 68.2 Å³/cell
E_form = 0.129 eV/atom

Looking at total DFT energy (no corrections) for the records above, in order, we have -4.56; -6.15; -4.58; -6.24; -2.92; -4.50 eV per atom.